DFT (PBE) results for crystalline Nd2ErP3Rh12 at its relaxed geometry.

For the magnetic moment, the calculation gives 0.00 μB/f.u. The formation energy comes out at -6.16 eV/f.u.

The space group is R-3m (No. 166, hexagonal axes) and the conventional cell measures 9.0238, 9.0238 and 12.8941 Å, with angles of 90.00, 90.00 and 120.00 degrees. The asymmetric unit holds Nd at (0.0000, 0.0000, 0.1266), Er at (0.0000, 0.0000, 0.5000), P at (0.0000, 0.5000, 0.0000), Rh at (0.0073, 0.5037, 0.8269) and Rh at (0.0310, 0.5155, 0.3806).


DFT (PBE) results for crystalline YTePt2 at its relaxed geometry.

For the magnetic moment, the calculation gives 0.00 μB/f.u. The value obtained for the offset from the most stable computed form is 1.00 eV/f.u. The raw formation energy is -2.11 eV per formula unit.

The space group is F-43m (No. 216) and the conventional cell measures 6.9089, 6.9089 and 6.9089 Å, with angles of 90.00, 90.00 and 90.00 degrees. The asymmetric unit holds Y at (0.0000, 0.0000, 0.0000), Te at (0.2500, 0.2500, 0.2500), Pt at (0.0000, 0.0000, 0.5000) and Pt at (0.2500, 0.2500, 0.7500).


- magnetic moment of number 1 (Nd2ErP3Rh12)?
  0.00 μB/f.u.